A relaxed structure of TaTl2In. Source: the Alexandria database, functional GGA-PBEsol.

Values from the calculation:
Spin magnetization: 0.00 Bohr magnetons per cell
Energy above the lowest structure with this stoichiometry: 39.8 kJ/mol of formula units
V: 21.54 Å³ per atom
Energy of formation from the pure elements: 520 meV/atom
Total energy: -37.43 eV/cell

Lattice parameters (Å, degrees): 4.2394 4.2394 9.5887 90.00 90.00 90.00
Space group I4/mmm (No. 139)
Asymmetric unit:
Ta (0.0000, 0.0000, 0.0000) (multiplicity 2)
Tl (0.0000, 0.5000, 0.2500) (multiplicity 4)
In (0.0000, 0.0000, 0.5000) (multiplicity 2)